GGA-PBE BeAl2Cl8, optimized geometry; crystal system = monoclinic; calculated volume = 340.6 Å³ per cell; formation energy without anion corrections = -1.396 eV/atom; D(E_F) = 0.0000 states/eV per atom
1.0
5.967 -0.330 -0.282
0.371 7.603 0.121
0.371 1.299 7.493
Cl Al Be
8 2 1
Direct
0.809 0.749 0.072
0.191 0.251 0.928
0.809 0.072 0.749
0.256 0.366 0.366
0.744 0.634 0.634
0.191 0.928 0.251
0.292 0.822 0.822
0.708 0.178 0.178
0.649 0.805 0.805
0.351 0.195 0.195
0.000 0.000 0.000